[1]
Density functional theory data (SCAN) for a crystal of Li3MnP relaxed with PBEsol.

```
data_Li3MnP
_chemical_formula_sum 'Li3 Mn1 P1'
_cell_length_a 4.596
_cell_length_b 4.596
_cell_length_c 4.596
_cell_angle_alpha 90.00
_cell_angle_beta 90.00
_cell_angle_gamma 90.00
_space_group_name_H-M_alt 'P m -3 m'
_space_group_IT_number 221
_space_group_name_Hall '-P 4 2 3'
loop_
_atom_site_label
_atom_site_type_symbol
_atom_site_fract_x
_atom_site_fract_y
_atom_site_fract_z
_atom_site_occupancy
Li1 Li 0.000 0.000 0.500 1
Mn1 Mn 0.500 0.500 0.500 1
P1 P 0.000 0.000 0.000 1
```

total moment: 5.1 μB per formula unit
ΔE_f: -0.067 eV/atom
N(E_F): 0.270 states/eV/atom

[2]
Density functional theory data (SCAN) for a crystal of Li2MnP relaxed with PBEsol.

```
data_Li2MnP
_chemical_formula_sum 'Li4 Mn2 P2'
_cell_length_a 3.413
_cell_length_b 3.413
_cell_length_c 8.517
_cell_angle_alpha 90.00
_cell_angle_beta 90.00
_cell_angle_gamma 90.00
_space_group_name_H-M_alt 'I 4/m m m'
_space_group_IT_number 139
_space_group_name_Hall '-I 4 2'
loop_
_atom_site_label
_atom_site_type_symbol
_atom_site_fract_x
_atom_site_fract_y
_atom_site_fract_z
_atom_site_occupancy
Li1 Li 0.000 0.500 0.250 1
Mn1 Mn 0.000 0.000 0.000 1
P1 P 0.000 0.000 0.500 1
```

total moment: 3.3 μB per formula unit
ΔE_f: -0.320 eV/atom
N(E_F): 0.502 states/eV/atom

[3]
Density functional theory data (SCAN) for a crystal of LiMnP2 relaxed with PBEsol.

```
data_LiMnP2
_chemical_formula_sum 'Li4 Mn4 P8'
_cell_length_a 5.621
_cell_length_b 5.621
_cell_length_c 5.621
_cell_angle_alpha 90.00
_cell_angle_beta 90.00
_cell_angle_gamma 90.00
_space_group_name_H-M_alt 'F m -3 m'
_space_group_IT_number 225
_space_group_name_Hall '-F 4 2 3'
loop_
_atom_site_label
_atom_site_type_symbol
_atom_site_fract_x
_atom_site_fract_y
_atom_site_fract_z
_atom_site_occupancy
Li1 Li 0.000 0.000 0.000 1
Mn1 Mn 0.000 0.000 0.500 1
P1 P 0.250 0.250 0.250 1
```

total moment: 0.0 μB per formula unit
excess energy over the best structure of this formula in the dataset: 136 meV/atom
ΔE_f: -0.108 eV/atom
N(E_F): 0.688 states/eV/atom

[4]
Density functional theory data (SCAN) for a crystal of LiMnP2 relaxed with PBEsol.

```
data_LiMnP2
_chemical_formula_sum 'Li4 Mn4 P8'
_cell_length_a 5.545
_cell_length_b 5.545
_cell_length_c 10.148
_cell_angle_alpha 90.00
_cell_angle_beta 90.00
_cell_angle_gamma 90.00
_space_group_name_H-M_alt 'I -4 2 d'
_space_group_IT_number 122
_space_group_name_Hall 'I -4 2bw'
loop_
_atom_site_label
_atom_site_type_symbol
_atom_site_fract_x
_atom_site_fract_y
_atom_site_fract_z
_atom_site_occupancy
Li1 Li 0.000 0.000 0.000 1
Mn1 Mn 0.000 0.000 0.500 1
P1 P 0.177 0.750 0.625 1
```

total moment: 2.0 μB per formula unit
excess energy over the best structure of this formula in the dataset: 124 meV/atom
ΔE_f: -0.120 eV/atom
N(E_F): 0.272 states/eV/atom

[5]
Density functional theory data (SCAN) for a crystal of LiMnP2 relaxed with PBEsol.

```
data_LiMnP2
_chemical_formula_sum 'Li2 Mn2 P4'
_cell_length_a 5.296
_cell_length_b 6.978
_cell_length_c 2.677
_cell_angle_alpha 90.00
_cell_angle_beta 97.21
_cell_angle_gamma 90.00
_space_group_name_H-M_alt 'C 1 2/m 1'
_space_group_IT_number 12
_space_group_name_Hall '-C 2y'
loop_
_atom_site_label
_atom_site_type_symbol
_atom_site_fract_x
_atom_site_fract_y
_atom_site_fract_z
_atom_site_occupancy
Li1 Li 0.000 0.000 0.000 1
Mn1 Mn 0.000 0.500 0.000 1
P1 P 0.250 0.250 0.500 1
```

total moment: 3.5 μB per formula unit
excess energy over the best structure of this formula in the dataset: 25 meV/atom
ΔE_f: -0.219 eV/atom
N(E_F): 0.392 states/eV/atom

[6]
Density functional theory data (SCAN) for a crystal of LiMnP2 relaxed with PBEsol.

```
data_LiMnP2
_chemical_formula_sum 'Li2 Mn2 P4'
_cell_length_a 3.455
_cell_length_b 3.455
_cell_length_c 8.165
_cell_angle_alpha 90.00
_cell_angle_beta 90.00
_cell_angle_gamma 90.00
_space_group_name_H-M_alt 'I -4 m 2'
_space_group_IT_number 119
_space_group_name_Hall 'I -4 -2'
loop_
_atom_site_label
_atom_site_type_symbol
_atom_site_fract_x
_atom_site_fract_y
_atom_site_fract_z
_atom_site_occupancy
Li1 Li 0.000 0.000 0.000 1
Mn1 Mn 0.000 0.500 0.250 1
P1 P 0.000 0.000 0.500 1
P2 P 0.000 0.500 0.750 1
```

total moment: 3.4 μB per formula unit
excess energy over the best structure of this formula in the dataset: 0 meV/atom
ΔE_f: -0.244 eV/atom
N(E_F): 0.392 states/eV/atom